No. 1
# La2TbPr2Er2 PBE relaxed
# DFT formation energy ... 0.025 eV per atom
data_La2TbPr2Er2
_symmetry_space_group_name_H-M 'C 1 2/m 1'
_symmetry_Int_Tables_number 12
_cell_length_a 11.470
_cell_length_b 5.157
_cell_length_c 8.192
_cell_angle_alpha 90.00
_cell_angle_beta 98.18
_cell_angle_gamma 90.00
loop_
_symmetry_equiv_pos_as_xyz
'x,y,z'
'-x,-y,-z'
'-x,y,-z'
'x,-y,z'
'x+1/2,y+1/2,z'
'-x+1/2,-y+1/2,-z'
'-x+1/2,y+1/2,-z'
'x+1/2,-y+1/2,z'
loop_
_atom_site_label
_atom_site_type_symbol
_atom_site_fract_x
_atom_site_fract_y
_atom_site_fract_z
La1 La 0.142 0.000 0.426
Tb1 Tb 0.000 0.000 0.000
Pr1 Pr 0.214 0.500 0.141
Er1 Er 0.070 0.500 0.715

No. 2
# MgReSbTe2 PBE relaxed
# Formation energy without anion corrections ... 0.612 eV/atom
data_MgReSbTe2
_symmetry_space_group_name_H-M 'P 4/m m m'
_symmetry_Int_Tables_number 123
_symmetry_space_group_name_Hall '-P 4 2'
_cell_length_a 5.395
_cell_length_b 5.395
_cell_length_c 5.118
_cell_angle_alpha 90.00
_cell_angle_beta 90.00
_cell_angle_gamma 90.00
loop_
_atom_site_label
_atom_site_type_symbol
_atom_site_fract_x
_atom_site_fract_y
_atom_site_fract_z
Mg1 Mg 0.000 0.000 0.000
Re1 Re 0.500 0.500 0.500
Sb1 Sb 0.500 0.500 0.000
Te1 Te 0.000 0.500 0.500

No. 3
# K2Se PBE relaxed
# Formation energy without anion corrections ... -0.965 eV/atom
data_K2Se
_symmetry_space_group_name_H-M 'P -3 m 1'
_symmetry_Int_Tables_number 164
_symmetry_space_group_name_Hall '-P 3 2"'
_cell_length_a 5.1560
_cell_length_b 5.1560
_cell_length_c 5.3736
_cell_angle_alpha 90.00
_cell_angle_beta 90.00
_cell_angle_gamma 120.00
loop_
_atom_site_label
_atom_site_type_symbol
_atom_site_fract_x
_atom_site_fract_y
_atom_site_fract_z
K1 K 0.3333 0.6667 0.2638
Se1 Se 0.0000 0.0000 0.5000

No. 4
# Rb2DyAgCl6 PBE relaxed
# Formation energy without anion corrections ... -1.827 eV/atom
data_Rb2DyAgCl6
_symmetry_space_group_name_H-M 'P 1 21/c 1'
_symmetry_Int_Tables_number 14
_cell_length_a 7.520
_cell_length_b 7.700
_cell_length_c 12.906
_cell_angle_alpha 90.00
_cell_angle_beta 125.39
_cell_angle_gamma 90.00
loop_
_symmetry_equiv_pos_as_xyz
'x,y,z'
'-x,-y,-z'
'-x,y+1/2,-z+1/2'
'x,-y+1/2,z+1/2'
loop_
_atom_site_label
_atom_site_type_symbol
_atom_site_fract_x
_atom_site_fract_y
_atom_site_fract_z
Rb1 Rb 0.237 0.052 0.250
Dy1 Dy 0.500 0.000 0.000
Ag1 Ag 0.000 0.000 0.500
Cl1 Cl 0.182 0.201 0.964
Cl2 Cl 0.266 0.720 0.965
Cl3 Cl 0.323 0.013 0.753

No. 5
# Nd2Tl2IrO6 PBE relaxed
# Formation energy without anion corrections ... -1.718 eV/atom
data_Nd2Tl2IrO6
_symmetry_space_group_name_H-M 'C 1 2/m 1'
_symmetry_Int_Tables_number 12
_cell_length_a 5.983
_cell_length_b 10.417
_cell_length_c 6.746
_cell_angle_alpha 90.00
_cell_angle_beta 103.84
_cell_angle_gamma 90.00
loop_
_symmetry_equiv_pos_as_xyz
'x,y,z'
'-x,-y,-z'
'-x,y,-z'
'x,-y,z'
'x+1/2,y+1/2,z'
'-x+1/2,-y+1/2,-z'
'-x+1/2,y+1/2,-z'
'x+1/2,-y+1/2,z'
loop_
_atom_site_label
_atom_site_type_symbol
_atom_site_fract_x
_atom_site_fract_y
_atom_site_fract_z
Nd1 Nd 0.000 0.164 0.000
Tl1 Tl 0.000 0.342 0.500
Ir1 Ir 0.000 0.500 0.000
O1 O 0.190 0.349 0.163
O2 O 0.238 0.500 0.819

No. 6
# LaDyErTh PBE relaxed
# DFT formation energy ... 0.015 eV per atom
data_LaDyErTh
_symmetry_space_group_name_H-M 'P 4 m m'
_symmetry_Int_Tables_number 99
_cell_length_a 3.613
_cell_length_b 3.613
_cell_length_c 10.053
_cell_angle_alpha 90.00
_cell_angle_beta 90.00
_cell_angle_gamma 90.00
loop_
_symmetry_equiv_pos_as_xyz
'x,y,z'
'-y,x,z'
'-x,-y,z'
'y,-x,z'
'-x,y,z'
'y,x,z'
'x,-y,z'
'-y,-x,z'
loop_
_atom_site_label
_atom_site_type_symbol
_atom_site_fract_x
_atom_site_fract_y
_atom_site_fract_z
La1 La 0.000 0.000 0.000
Dy1 Dy 0.500 0.500 0.736
Er1 Er 0.500 0.500 0.261
Th1 Th 0.000 0.000 0.497

The calculation returns the following E_tot values, one per record and in order: -65.991 -21.388 -8.574 -77.467 -143.545 -21.453 eV for the cell shown.
The calculation returns the following mass density values, one per record and in order: 7291 6549 2109 3565 8017 8869 kg/m3.
The calculation returns the following volume values, one per record and in order: 34.26 29.79 41.24 30.46 18.56 32.80 Å³/atom.